PBE CdCu2GeTe2S2, relaxed; energy above the most stable polymorph in this dataset = 0.0235 eV/atom; DFT total energy = -0.1356 hartree per atom; SG = No. 42
1.0
0.000 4.176 5.670
4.151 0.000 5.670
4.151 4.176 0.000
Cd Cu Ge Te S
1 2 1 2 2
Cartesian
0.000 0.000 0.000
2.075 2.088 3.265
6.226 6.265 8.936
4.151 4.176 5.688
4.151 2.201 7.396
4.151 6.152 7.396
6.020 4.176 4.297
2.282 4.176 4.297

PBE CdCu2GeTe2S2, relaxed; energy above the most stable polymorph in this dataset = 0.0000 eV/atom; DFT total energy = -0.1364 hartree per atom; SG = No. 5
1.0
6.303 -2.933 0.000
6.303 2.933 0.000
-2.608 0.000 5.286
Cd Cu Ge Te S
1 2 1 2 2
Cartesian
0.000 0.000 0.000
1.335 0.137 3.698
8.663 0.137 1.588
4.999 0.363 2.643
4.174 -1.170 0.664
5.824 -1.170 4.622
3.076 1.562 3.172
6.921 1.562 2.114

PBE Cd2CuGeSe4, relaxed; DFT total energy = -0.1245 hartree per atom; SG = No. 121
1.0
-3.004 3.004 5.951
3.004 -3.004 5.951
3.004 3.004 -5.951
Cd Cu Ge Se
2 1 1 4
Cartesian
3.004 0.000 2.976
0.000 3.004 2.976
0.000 0.000 0.000
0.000 0.000 5.951
1.566 -1.566 4.605
1.437 1.437 1.346
-1.566 1.566 4.605
1.566 1.566 7.297

PBE TaCdCuGe, relaxed; energy above the most stable polymorph in this dataset = 0.0000 eV/atom; DFT total energy = -0.1767 hartree per atom; total magnetic moment = 0.094 μB/atom; SG = No. 216
1.0
0.000 3.243 3.243
3.243 0.000 3.243
3.243 3.243 0.000
Ta Cd Cu Ge
1 1 1 1
Cartesian
0.000 0.000 0.000
4.865 4.865 4.865
3.243 3.243 3.243
1.622 1.622 1.622

PBE TaCdCuGe, relaxed; energy above the most stable polymorph in this dataset = 0.2611 eV/atom; DFT total energy = -0.1671 hartree per atom; total magnetic moment = 0.165 μB/atom; SG = No. 216
1.0
0.000 3.288 3.288
3.288 0.000 3.288
3.288 3.288 0.000
Ta Cd Cu Ge
1 1 1 1
Cartesian
0.000 0.000 0.000
1.644 1.644 1.644
4.932 4.932 4.932
3.288 3.288 3.288

PBE ZnCdCuGe, relaxed; energy above the most stable polymorph in this dataset = 0.0345 eV/atom; DFT total energy = -0.0871 hartree per atom; SG = No. 216
1.0
0.000 3.264 3.264
3.264 0.000 3.264
3.264 3.264 0.000
Zn Cd Cu Ge
1 1 1 1
Cartesian
0.000 0.000 0.000
1.632 1.632 1.632
4.896 4.896 4.896
3.264 3.264 3.264

PBE ZnCdCuGe, relaxed; energy above the most stable polymorph in this dataset = 0.0000 eV/atom; DFT total energy = -0.0884 hartree per atom; SG = No. 216
1.0
0.000 3.260 3.260
3.260 0.000 3.260
3.260 3.260 0.000
Zn Cd Cu Ge
1 1 1 1
Cartesian
0.000 0.000 0.000
4.890 4.890 4.890
3.260 3.260 3.260
1.630 1.630 1.630

PBE CdCuHPd2, relaxed; DFT total energy = -0.1435 hartree per atom; SG = No. 123
1.0
4.083 0.000 0.000
0.000 4.083 0.000
0.000 0.000 3.860
Cd Cu H Pd
1 1 1 2
Cartesian
0.000 0.000 0.000
2.041 2.041 0.000
2.041 2.041 1.930
0.000 2.041 1.930
2.041 0.000 1.930